Below is a geometry-optimized KMn2Ru structure, with properties calculated at the GGA-PBEsol level. Values from VASP.

Quantum ESPRESSO input file:
```
&SYSTEM
  ibrav = 0, nat = 4, ntyp = 3
/
ATOMIC_SPECIES
Mn 54.94 Mn.upf
K 39.10 K.upf
Ru 101.07 Ru.upf
CELL_PARAMETERS angstrom
2.860 0.000 0.000
0.000 2.860 0.000
0.000 0.000 8.504
ATOMIC_POSITIONS crystal
Mn 0.000 0.000 0.082
Mn 0.500 0.500 0.263
K 0.500 0.500 0.735
Ru 0.000 0.000 0.420
```

Output
- Total moment: 1.40 μB/atom
- Calculated total energy: -6.92 eV/atom
- Symmetry: P4mm (99)
- Relative energy among the computed polymorphs: 0.020 eV per atom